(1)
# PBE La8Te4As3I, relaxed
data_La8Te4As3I
_chemical_formula_sum 'La24 Te12 As9 I3'
_space_group_name_H-M_alt 'R -3 m'
_space_group_IT_number 166
_space_group_name_Hall '-R 3 2"'
_cell_length_a 8.9675
_cell_length_b 8.9675
_cell_length_c 22.2961
_cell_angle_alpha 90.00
_cell_angle_beta 90.00
_cell_angle_gamma 120.00
loop_
_atom_site_label
_atom_site_type_symbol
_atom_site_fract_x
_atom_site_fract_y
_atom_site_fract_z
_atom_site_occupancy
La1 La 0.0000 0.0000 0.2405 1
La2 La 0.0190 0.5095 0.7565 1
Te1 Te 0.0000 0.0000 0.0000 1
Te2 Te 0.0000 0.5000 0.0000 1
As1 As 0.0000 0.5000 0.5000 1
I1 I 0.0000 0.0000 0.5000 1
# * calculated density: 6.33 g cm⁻³
# * uncorrected formation energy: -1557 meV/atom
# * total magnetic moment: 0.0 μB per formula unit



(2)
# PBE La6Te2As3I, relaxed
data_La6Te2As3I
_chemical_formula_sum 'La12 Te4 As6 I2'
_space_group_name_H-M_alt 'C 1 2/m 1'
_space_group_IT_number 12
_cell_length_a 19.744
_cell_length_b 4.426
_cell_length_c 9.101
_cell_angle_alpha 90.00
_cell_angle_beta 105.52
_cell_angle_gamma 90.00
loop_
_space_group_symop_operation_xyz
'x,y,z'
'-x,-y,-z'
'-x,y,-z'
'x,-y,z'
'x+1/2,y+1/2,z'
'-x+1/2,-y+1/2,-z'
'-x+1/2,y+1/2,-z'
'x+1/2,-y+1/2,z'
loop_
_atom_site_label
_atom_site_type_symbol
_atom_site_fract_x
_atom_site_fract_y
_atom_site_fract_z
_atom_site_occupancy
La1 La 0.007 0.000 0.223 1
La2 La 0.161 0.500 0.099 1
La3 La 0.177 0.500 0.569 1
Te1 Te 0.165 0.000 0.830 1
As1 As 0.000 0.500 0.000 1
As2 As 0.165 0.000 0.333 1
I1 I 0.000 0.500 0.500 1
# * calculated density: 6.24 g cm⁻³
# * uncorrected formation energy: -1572 meV/atom
# * total magnetic moment: 0.0 μB per formula unit



(3)
# PBE La4TeAsI2, relaxed
data_La4TeAsI2
_chemical_formula_sum 'La4 Te1 As1 I2'
_space_group_name_H-M_alt 'P 1 2/m 1'
_space_group_IT_number 10
_cell_length_a 7.918
_cell_length_b 4.476
_cell_length_c 7.980
_cell_angle_alpha 90.00
_cell_angle_beta 108.62
_cell_angle_gamma 90.00
loop_
_space_group_symop_operation_xyz
'x,y,z'
'-x,-y,-z'
'-x,y,-z'
'x,-y,z'
loop_
_atom_site_label
_atom_site_type_symbol
_atom_site_fract_x
_atom_site_fract_y
_atom_site_fract_z
_atom_site_occupancy
La1 La 0.217 0.000 0.210 1
La2 La 0.237 0.500 0.780 1
Te1 Te 0.500 0.000 0.000 1
As1 As 0.000 0.500 0.000 1
I1 I 0.000 0.000 0.500 1
I2 I 0.500 0.500 0.500 1
# * calculated density: 6.27 g cm⁻³
# * uncorrected formation energy: -1342 meV/atom
# * total magnetic moment: 0.0 μB per formula unit



(4)
# PBE La2TlAsI, relaxed
data_La2TlAsI
_chemical_formula_sum 'La2 Tl1 As1 I1'
_space_group_name_H-M_alt 'P 4/m m m'
_space_group_IT_number 123
_space_group_name_Hall '-P 4 2'
_cell_length_a 6.118
_cell_length_b 6.118
_cell_length_c 5.179
_cell_angle_alpha 90.00
_cell_angle_beta 90.00
_cell_angle_gamma 90.00
loop_
_atom_site_label
_atom_site_type_symbol
_atom_site_fract_x
_atom_site_fract_y
_atom_site_fract_z
_atom_site_occupancy
La1 La 0.000 0.500 0.000 1
Tl1 Tl 0.000 0.000 0.000 1
As1 As 0.000 0.000 0.500 1
I1 I 0.500 0.500 0.500 1
# * calculated density: 5.86 g cm⁻³
# * uncorrected formation energy: -51 meV/atom
# * total magnetic moment: 0.0 μB per formula unit



(5)
# PBE La8TlAs3I4, relaxed
data_La8TlAs3I4
_chemical_formula_sum 'La24 Tl3 As9 I12'
_space_group_name_H-M_alt 'R -3 m'
_space_group_IT_number 166
_space_group_name_Hall '-R 3 2"'
_cell_length_a 8.9399
_cell_length_b 8.9399
_cell_length_c 23.1846
_cell_angle_alpha 90.00
_cell_angle_beta 90.00
_cell_angle_gamma 120.00
loop_
_atom_site_label
_atom_site_type_symbol
_atom_site_fract_x
_atom_site_fract_y
_atom_site_fract_z
_atom_site_occupancy
La1 La 0.0000 0.0000 0.2334 1
La2 La 0.0143 0.5072 0.7633 1
Tl1 Tl 0.0000 0.0000 0.5000 1
As1 As 0.0000 0.5000 0.5000 1
I1 I 0.0000 0.0000 0.0000 1
I2 I 0.0000 0.5000 0.0000 1
# * calculated density: 6.36 g cm⁻³
# * uncorrected formation energy: -1221 meV/atom
# * total magnetic moment: 0.0 μB per formula unit



(6)
# PBE La6Tl2AsI3, relaxed
data_La6Tl2AsI3
_chemical_formula_sum 'La12 Tl4 As2 I6'
_space_group_name_H-M_alt 'C 1 2/m 1'
_space_group_IT_number 12
_cell_length_a 8.007
_cell_length_b 13.854
_cell_length_c 7.934
_cell_angle_alpha 90.00
_cell_angle_beta 109.57
_cell_angle_gamma 90.00
loop_
_space_group_symop_operation_xyz
'x,y,z'
'-x,-y,-z'
'-x,y,-z'
'x,-y,z'
'x+1/2,y+1/2,z'
'-x+1/2,-y+1/2,-z'
'-x+1/2,y+1/2,-z'
'x+1/2,-y+1/2,z'
loop_
_atom_site_label
_atom_site_type_symbol
_atom_site_fract_x
_atom_site_fract_y
_atom_site_fract_z
_atom_site_occupancy
La1 La 0.235 0.161 0.222 1
La2 La 0.246 0.000 0.776 1
Tl1 Tl 0.000 0.334 0.000 1
As1 As 0.000 0.000 0.000 1
I1 I 0.000 0.171 0.500 1
I2 I 0.000 0.500 0.500 1
# * calculated density: 6.80 g cm⁻³
# * uncorrected formation energy: -929 meV/atom
# * total magnetic moment: 0.0 μB per formula unit



(7)
# PBE La8ZnAs3I4, relaxed
data_La8ZnAs3I4
_chemical_formula_sum 'La24 Zn3 As9 I12'
_space_group_name_H-M_alt 'R -3 m'
_space_group_IT_number 166
_space_group_name_Hall '-R 3 2"'
_cell_length_a 8.8451
_cell_length_b 8.8451
_cell_length_c 23.1630
_cell_angle_alpha 90.00
_cell_angle_beta 90.00
_cell_angle_gamma 120.00
loop_
_atom_site_label
_atom_site_type_symbol
_atom_site_fract_x
_atom_site_fract_y
_atom_site_fract_z
_atom_site_occupancy
La1 La 0.0000 0.0000 0.2340 1
La2 La 0.0013 0.5007 0.7645 1
Zn1 Zn 0.0000 0.0000 0.5000 1
As1 As 0.0000 0.5000 0.5000 1
I1 I 0.0000 0.0000 0.0000 1
I2 I 0.0000 0.5000 0.0000 1
# * calculated density: 6.06 g cm⁻³
# * uncorrected formation energy: -1201 meV/atom
# * total magnetic moment: 0.0 μB per formula unit



(8)
# PBE La8Zn3AsI4, relaxed
data_La8Zn3AsI4
_chemical_formula_sum 'La24 Zn9 As3 I12'
_space_group_name_H-M_alt 'R -3 m'
_space_group_IT_number 166
_space_group_name_Hall '-R 3 2"'
_cell_length_a 8.8634
_cell_length_b 8.8634
_cell_length_c 23.1813
_cell_angle_alpha 90.00
_cell_angle_beta 90.00
_cell_angle_gamma 120.00
loop_
_atom_site_label
_atom_site_type_symbol
_atom_site_fract_x
_atom_site_fract_y
_atom_site_fract_z
_atom_site_occupancy
La1 La 0.0000 0.0000 0.2398 1
La2 La 0.0048 0.5024 0.2382 1
Zn1 Zn 0.0000 0.5000 0.5000 1
As1 As 0.0000 0.0000 0.5000 1
I1 I 0.0000 0.0000 0.0000 1
I2 I 0.0000 0.5000 0.0000 1
# * calculated density: 5.97 g cm⁻³
# * uncorrected formation energy: -807 meV/atom
# * total magnetic moment: 0.0 μB per formula unit